{
  "formula": "BeTl2W",
  "functional": "meta-GGA SCAN",
  "state": "single point on PBEsol structure",
  "lattice_angstrom": [[3.4999, 0.0000, 0.0000], [0.0000, 3.4999, 0.0000], [0.0000, 0.0000, 5.7945]],
  "species": ["W", "Be", "Tl", "Tl"],
  "fractional_positions": [[0.5000, 0.5000, 0.0000], [0.5000, 0.5000, 0.5000], [0.0000, 0.0000, 0.7412], [0.0000, 0.0000, 0.2588]],
  "delta_e_f_ev_per_atom": 1.1307,
  "de_polymorph_ev_per_fu": 1.47,
  "spacegroup": "P4/mmm (123)",
  "m_tot_mub_per_cell": 0.000
}